1.
DFT (GGA-PBE) results for an optimized crystal structure of Ta9Ni4.

Results
Volume, Å³/f.u.: 227.8
Formation energy, eV/atom: 0.563
E above lowest polymorph, meV per atom: 418

abc: 9.2000 9.2000 9.2000
angles: 34.92 34.92 34.92
Sites, in units of the cell vectors:
Ta 0.0000 0.0000 0.0000
Ta 0.0863 0.0863 0.5771
Ta 0.0863 0.5771 0.0863
Ta 0.4229 0.9137 0.9137
Ta 0.4451 0.4451 0.4451
Ta 0.5549 0.5549 0.5549
Ta 0.5771 0.0863 0.0863
Ta 0.9137 0.4229 0.9137
Ta 0.9137 0.9137 0.4229
Ni 0.1671 0.1671 0.1671
Ni 0.3451 0.3451 0.3451
Ni 0.6549 0.6549 0.6549
Ni 0.8329 0.8329 0.8329

2.
DFT (GGA-PBE) results for an optimized crystal structure of Tl3AuI6.

Results
Volume, Å³/f.u.: 420.4
VASP energy, eV/cell: -22.66

abc: 8.4083 8.4083 8.4083
angles: 60.00 60.00 60.00
Sites, in units of the cell vectors:
Tl 0.0000 0.0000 0.0000
Tl 0.2500 0.2500 0.2500
Tl 0.7500 0.7500 0.7500
Au 0.5000 0.5000 0.5000
I 0.2590 0.2590 0.7410
I 0.2590 0.7410 0.2590
I 0.2590 0.7410 0.7410
I 0.7410 0.2590 0.2590
I 0.7410 0.2590 0.7410
I 0.7410 0.7410 0.2590

3.
DFT (GGA-PBE) results for an optimized crystal structure of LiMg2Zn.

Results
Volume, Å³/f.u.: 73.6
VASP energy, eV/cell: -6.65

abc: 3.3317 3.3317 6.6309
angles: 90.00 90.00 90.00
Sites, in units of the cell vectors:
Li 0.0000 0.0000 0.0000
Mg 0.5000 0.5000 0.2572
Mg 0.5000 0.5000 0.7428
Zn 0.0000 0.0000 0.5000

> What is the formula in the second record?

Tl3AuI6

Please write out number 3 again, unchanged.
DFT (GGA-PBE) results for an optimized crystal structure of LiMg2Zn.

Results
Volume, Å³/f.u.: 73.6
VASP energy, eV/cell: -6.65

abc: 3.3317 3.3317 6.6309
angles: 90.00 90.00 90.00
Sites, in units of the cell vectors:
Li 0.0000 0.0000 0.0000
Mg 0.5000 0.5000 0.2572
Mg 0.5000 0.5000 0.7428
Zn 0.0000 0.0000 0.5000

> Number 2 is which compound?

Tl3AuI6

> Look up the volume of the third one.

73.6 Å³/f.u.